VASP calculation (PBEsol) on crystalline SbPOsI2 at its relaxed geometry.

Its formation energy from raw total energies is 8.4 eV per formula unit. Its density is 7.1 g/cm3.

The structure belongs to space group P4/mmm (No. 123); the cell edges are 5.1507, 5.1507 and 5.2409 Å and the angles 90.00°, 90.00° and 90.00°. The distinct sites, in fractional coordinates, are Sb at (0.0000, 0.0000, 0.0000), P at (0.0000, 0.0000, 0.5000), Os at (0.5000, 0.5000, 0.0000) and I at (0.0000, 0.5000, 0.5000).